Entry 1:
Below is crystalline CsSmFeS3 at its relaxed geometry, with properties calculated at the PBE-GGA level.

POSCAR file:
```
CsSmFeS3
1.0
-3.028 8.727 -2.149
-2.357 -1.537 -2.921
-5.731 -4.098 6.782
S Fe Sm Cs
6 2 2 2
Direct
0.969 0.750 0.653 S
0.621 0.250 0.339 S
0.031 0.250 0.347 S
0.682 0.750 0.039 S
0.318 0.250 0.961 S
0.379 0.750 0.661 S
0.424 0.750 0.906 Fe
0.576 0.250 0.094 Fe
0.167 0.250 0.648 Sm
0.833 0.750 0.352 Sm
0.286 0.750 0.258 Cs
0.714 0.250 0.742 Cs
```

Computed properties:
total energy = -34.251 eV per formula unit
space group = P2_1/m

***

Entry 2:
Below is crystalline SrTmNb at its relaxed geometry, with properties calculated at the PBE-GGA level.

POSCAR file:
```
SrTmNb
1.0
3.810 -3.195 -1.936
0.735 -4.851 2.099
-1.329 -4.346 -2.796
Sr Tm Nb
1 1 1
Direct
0.250 0.250 0.250 Sr
0.750 0.750 0.750 Tm
0.000 0.000 0.000 Nb
```

Computed properties:
total energy = -12.854 eV per formula unit
space group = F-43m

***

Entry 3:
Below is crystalline PrTe at its relaxed geometry, with properties calculated at the PBE-GGA level.

POSCAR file:
```
PrTe
1.0
-1.734 -3.542 -1.646
1.469 -0.007 4.013
-3.779 1.206 1.386
Pr Te
1 1
Direct
0.667 0.333 0.750 Pr
0.333 0.667 0.250 Te
```

Computed properties:
total energy = -10.738 eV per formula unit
space group = P-6m2

***

Entry 4:
Below is crystalline Zr2Pd2O5 at its relaxed geometry, with properties calculated at the PBE-GGA level.

POSCAR file:
```
Zr2Pd2O5
1.0
-3.652 -2.274 4.885
3.280 -1.592 1.711
0.597 3.421 2.039
O Pd Zr
5 2 2
Direct
0.228 0.500 0.000 O
0.228 0.000 0.500 O
0.772 0.000 0.500 O
0.772 0.500 0.000 O
0.500 0.500 0.500 O
0.190 0.500 0.500 Pd
0.810 0.500 0.500 Pd
0.000 0.000 0.000 Zr
0.500 0.000 0.000 Zr
```

Computed properties:
total energy = -61.781 eV per formula unit
space group = P4/mmm

***

Entry 5:
Below is crystalline Zr2NiPt at its relaxed geometry, with properties calculated at the PBE-GGA level.

POSCAR file:
```
Zr2NiPt
1.0
-0.883 -3.113 2.704
4.195 1.457 3.048
1.453 3.160 4.112
Pt Ni Zr
1 1 2
Direct
0.500 0.916 0.916 Pt
0.000 0.089 0.089 Ni
0.500 0.639 0.639 Zr
0.000 0.356 0.356 Zr
```

Computed properties:
ΔE_f = -0.763 eV/atom
space group = Amm2

***

Entry 6:
Below is crystalline KErGeSe3 at its relaxed geometry, with properties calculated at the PBE-GGA level.

POSCAR file:
```
KErGeSe3
1.0
2.180 -7.381 0.000
2.180 7.381 0.000
0.000 0.000 11.284
Ge K Se Er
2 2 6 2
Direct
0.462 0.538 0.250 Ge
0.538 0.462 0.750 Ge
0.254 0.746 0.750 K
0.746 0.254 0.250 K
0.626 0.374 0.542 Se
0.374 0.626 0.042 Se
0.936 0.064 0.750 Se
0.064 0.936 0.250 Se
0.374 0.626 0.458 Se
0.626 0.374 0.958 Se
0.000 0.000 0.000 Er
0.000 0.000 0.500 Er
```

Computed properties:
total energy = -27.254 eV per formula unit
space group = Cmcm